Here is a relaxed Cs8K3Pd crystal from the Alexandria database. Energies are from PBE-GGA.

Calculated values
DFT formation energy (eV per atom): 0.0461
Volume (Å³/cell): 2118.0
M_tot (μB per formula unit): 0.0
Total energy (eV for the cell shown): -29.521
Crystal system: hexagonal

Lattice parameters (Å, degrees): 14.9834 14.9834 10.8936 90.00 90.00 120.00
Space group P6_3mc (No. 186)
Symmetry-distinct sites (fractional):
1 Cs 0.0000 0.0000 0.2019 x2
2 Cs 0.0733 0.5367 0.2092 x6
3 Cs 0.2174 0.4348 0.5000 x6
4 Cs 0.3333 0.6667 0.9304 x2
5 K 0.1511 0.3022 0.9466 x6
6 Pd 0.3333 0.6667 0.3059 x2